The following is a PBE calculation of a geometry-optimized K3HgF6 structure, from the Open Quantum Materials Database.

Computed properties:
Offset from the most stable computed form, eV/atom: 0.000

Cell: 6.134 6.490 10.463 Å, 90.00 124.62 90.00°
Positions (direct):
K (0.000, 0.000, 0.000)
K (0.000, 0.500, 0.500)
K (0.223, 0.065, 0.746)
K (0.223, 0.435, 0.246)
K (0.777, 0.565, 0.754)
K (0.777, 0.935, 0.254)
Hg (0.500, 0.000, 0.500)
Hg (0.500, 0.500, 0.000)
F (0.158, 0.182, 0.447)
F (0.158, 0.318, 0.947)
F (0.248, 0.720, 0.423)
F (0.248, 0.780, 0.923)
F (0.401, 0.067, 0.269)
F (0.401, 0.433, 0.769)
F (0.599, 0.567, 0.231)
F (0.599, 0.933, 0.731)
F (0.752, 0.220, 0.077)
F (0.752, 0.280, 0.577)
F (0.842, 0.682, 0.053)
F (0.842, 0.818, 0.553)